TlVMoO6: relaxed, PBE+U. Values from VASP.

```
&SYSTEM
  ibrav = 0, nat = 9, ntyp = 4
/
ATOMIC_SPECIES
O 16.00 O.upf
V 50.94 V.upf
Tl 204.38 Tl.upf
Mo 95.94 Mo.upf
CELL_PARAMETERS angstrom
5.192 0.000 0.000
2.596 4.496 0.000
0.000 0.000 6.152
ATOMIC_POSITIONS crystal
O 0.614 0.993 0.322
O 0.993 0.393 0.322
O 0.998 0.602 0.681
O 0.400 0.998 0.681
O 0.602 0.400 0.681
O 0.393 0.614 0.322
V 0.667 0.667 0.550
Tl 0.000 0.000 0.986
Mo 0.333 0.333 0.455
```

The value obtained for the total DFT energy (no corrections) is -60.755 eV for the cell shown. As for the crystal system: trigonal. The spin magnetization is 0.0 μB per formula unit. The calculated volume comes out at 15.96 Å³ per atom.